The following is a GGA+U calculation of a relaxed KWO2F crystal, from the Alexandria database.

Cell and atoms, written as extended XYZ:
```
5
Lattice="4.0800 0.0000 0.0000 0.0000 4.3330 0.0000 0.0000 0.0000 4.0800" Properties=species:S:1:pos:R:3 pbc="T T T"
W 0.0000 0.0000 0.0000
O 0.0000 0.0000 2.0400
O 2.0400 0.0000 0.0000
F 0.0000 2.1665 0.0000
K 2.0400 2.1665 2.0400
```

The following is a GGA+U calculation of a relaxed PrNi2SbO6 crystal, from the Alexandria database.

Cell and atoms, written as extended XYZ:
```
10
Lattice="5.4148 -0.0057 0.0065 2.7115 4.6851 0.0113 2.7040 1.5524 4.8476" Properties=species:S:1:pos:R:3 pbc="T T T"
Ni 5.4152 3.1164 2.1123
Ni 2.7041 1.5529 4.6634
O 6.3822 1.9468 3.6889
O 7.2650 3.1421 1.1267
O 5.9404 4.5361 3.6925
O 4.5137 1.5060 1.1196
O 4.4708 4.7060 1.1261
O 3.9193 2.8592 3.6874
Pr 8.1232 4.6743 2.9668
Sb 2.7086 1.5595 0.2105
```

no.,calculated total energy (eV/cell),spin magnetization (μB/f.u.)
1,-30.72,2.00
2,-61.56,4.00